No. 1
First-principles (GGA-PBE) data for crystalline CeTl2Se2O6 at its relaxed geometry, as listed in Alexandria via LeMat-Bulk.

## Properties
For the formation energy without anion corrections, the calculation gives -1294 meV per atom. The space group is C2/m. Its mass density is 6.62 g/cm3. For the total DFT energy (no corrections), the calculation gives -61.62 eV/f.u.

```
CeTl2Se2O6
1.0
5.000 -3.429 0.000
5.000 3.429 0.000
-2.655 0.000 5.877
Ce Tl Se O
1 2 2 6
Cartesian
0.000 0.000 0.000
0.277 0.000 3.722
7.067 0.000 2.155
3.770 0.000 1.515
3.575 0.000 4.362
4.072 1.964 1.392
3.273 1.964 4.484
2.066 0.000 1.223
5.278 0.000 4.654
4.072 -1.964 1.392
3.273 -1.964 4.484
```

=====

No. 2
First-principles (GGA-PBE) data for crystalline CeTlSe2O8 at its relaxed geometry, as listed in Alexandria via LeMat-Bulk.

## Properties
Its density of states at the Fermi level is 0.567 states/eV per atom. For the formation energy without anion corrections, the calculation gives -1330 meV per atom. The space group is C2/m. Its mass density is 4.27 g/cm3. For the total DFT energy (no corrections), the calculation gives -70.89 eV/f.u.

```
CeTlSe2O8
1.0
4.722 -2.980 0.000
4.722 2.980 0.000
-0.161 0.000 8.711
Ce Tl Se O
1 1 2 8
Cartesian
0.000 0.000 0.000
-0.080 0.000 4.356
3.368 0.000 1.978
5.916 0.000 6.733
4.329 1.370 1.715
2.184 0.000 0.775
2.756 0.000 3.504
4.955 1.370 6.996
4.329 -1.370 1.715
6.528 0.000 5.207
7.099 0.000 7.936
4.955 -1.370 6.996
```

=====

No. 3
First-principles (GGA-PBE) data for crystalline CeTlSeO5 at its relaxed geometry, as listed in Alexandria via LeMat-Bulk.

## Properties
Its density of states at the Fermi level is 0.411 states/eV per atom. For the formation energy without anion corrections, the calculation gives -1596 meV per atom. The space group is C2/c. Its mass density is 5.66 g/cm3. For the total DFT energy (no corrections), the calculation gives -49.34 eV/f.u.

```
CeTlSeO5
1.0
3.881 -5.186 0.000
3.881 5.186 0.000
-3.593 0.000 7.345
Ce Tl Se O
2 2 2 10
Cartesian
0.000 0.000 0.000
-1.796 0.000 3.672
1.187 1.882 5.509
2.983 -1.882 1.836
2.983 1.936 1.836
1.187 -1.936 5.509
1.187 4.517 5.509
1.858 2.951 2.780
2.085 0.893 0.776
4.108 2.951 0.892
0.288 -0.893 4.449
3.881 0.893 2.896
0.061 -2.951 6.452
2.085 -0.893 6.568
2.312 -2.951 4.565
2.983 -4.517 1.836
```